Pm2SnRh3 | GGA-PBE | optimized geometry

* uncorrected energy: -40.1 eV/cell
* formation energy from the elements: -0.76 eV per atom
* energy above the lowest structure with this stoichiometry: 0.0 meV/atom

abc: 5.341 5.341 5.341
angles: 65.39 65.39 65.39
Sites, in units of the cell vectors:
1 Pm 0.128 0.128 0.128
2 Pm 0.872 0.872 0.872
3 Sn 0.500 0.500 0.500
4 Rh 0.000 0.500 0.500
5 Rh 0.500 0.000 0.500
6 Rh 0.500 0.500 0.000